--- P ---
A relaxed Fe4Pd3Pt4 crystal, computed with PBE.

Cell: 2.7210 8.6307 14.1313 Å, 90.00 90.00 90.00°
With the nearest neighbours (Å) after each atom.
Space group Immm (No. 71)
Symmetry-distinct sites (fractional):
1 Fe 0.0000 0.2468 0.1768 [8 per cell]  4 Fe 2.48-2.72, 4 Pt 2.50-2.68, 2 Pd 2.70
2 Pd 0.0000 0.0000 0.5000 [2 per cell]  2 Pd 2.72, 6 Pt 2.72-2.95
3 Pd 0.0000 0.5000 0.3911 [4 per cell]  4 Fe 2.70, 2 Pd 2.72, 6 Pt 2.84-2.92
4 Pt 0.0000 0.0000 0.2915 [4 per cell]  6 Fe 2.61-2.68, 2 Pt 2.72, 2 Pd 2.92
5 Pt 0.0000 0.2266 0.0000 [4 per cell]  2 Fe 2.50, 2 Pt 2.72, 2 Pd 2.72


--- Q ---
A relaxed Fe4Pd3Pt4 crystal, computed with PBE.

Cell: 2.7329 8.1724 14.8620 Å, 90.00 90.00 90.00°
With the nearest neighbours (Å) after each atom.
Space group Immm (No. 71)
Symmetry-distinct sites (fractional):
1 Fe 0.0000 0.0000 0.2479 [4 per cell]  6 Pt 2.58-2.63, 2 Pd 2.66, 2 Fe 2.73
2 Fe 0.0000 0.2229 0.0000 [4 per cell]  2 Pt 2.49, 6 Pd 2.65-2.67, 2 Fe 2.73
3 Pd 0.0000 0.0000 0.5000 [2 per cell]  4 Fe 2.65, 2 Pd 2.73
4 Pd 0.0000 0.5000 0.4059 [4 per cell]  6 Fe 2.66-2.67, 3 Pd 2.73-2.80, 4 Pt 2.89
5 Pt 0.0000 0.2842 0.1644 [8 per cell]  4 Fe 2.49-2.63, 2 Pt 2.73


Which one sits at the bottom of the stability order? P does.